# 1
MnPCl: relaxed, GGA-PBEsol.

Lattice parameters (Å, degrees): 5.8791 5.8791 5.8791 90.00 90.00 90.00
Closest atoms and distances in Å follow each position.
Space group F-43m (No. 216)
Asymmetric unit:
Mn 0.0000 0.0000 0.0000 (multiplicity 4)  4 Cl 2.55, 4 P 2.55
P 0.2500 0.2500 0.7500 (multiplicity 4)  4 Mn 2.55
Cl 0.2500 0.2500 0.2500 (multiplicity 4)  4 Mn 2.55

Summary:
Total DFT energy (no corrections)   -67.64 eV/cell
DOS at the Fermi energy   9.42 states/eV/cell
E_form (uncorrected)   217 meV per atom

=====

# 2
LaScFe2C: relaxed, GGA-PBEsol.

Lattice parameters (Å, degrees): 3.8621 3.8621 4.9786 90.00 90.00 90.00
Closest atoms and distances in Å follow each position.
Space group P4/mmm (No. 123)
Asymmetric unit:
La 0.0000 0.0000 0.0000 (multiplicity 1)  2 C 2.49, 4 Sc 2.73
Sc 0.5000 0.5000 0.0000 (multiplicity 1)  4 La 2.73
Fe 0.0000 0.5000 0.5000 (multiplicity 2)  2 C 1.93
C 0.0000 0.0000 0.5000 (multiplicity 1)  4 Fe 1.93

Summary:
Total DFT energy (no corrections)   -37.70 eV/cell
DOS at the Fermi energy   6.04 states/eV/cell
Formation energy   365 meV per atom

=====

Which of these has the highest DOS at the Fermi energy?
MnPCl